[1]
YZr2Mo2: optimized geometry, PBE.

Summary:
DFT formation energy	245	meV per atom
E_tot	-0.647	Ry per atom

a = 7.8971 Å, b = 7.8971 Å, c = 3.4513 Å
α = 90.00°, β = 90.00°, γ = 90.00°
Atoms (fractional coordinates):
1 Y 0.0000 0.0000 0.0000
2 Y 0.5000 0.5000 0.0000
3 Zr 0.1469 0.3531 0.5000
4 Zr 0.3531 0.8531 0.5000
5 Zr 0.6469 0.1469 0.5000
6 Zr 0.8531 0.6469 0.5000
7 Mo 0.1428 0.6428 0.0000
8 Mo 0.3572 0.1428 0.0000
9 Mo 0.6428 0.8572 0.0000
10 Mo 0.8572 0.3572 0.0000

---

[2]
Ac2Ge2H4Pt: optimized geometry, PBE.

Summary:
E_tot	-0.327	Ry per atom

a = 5.9674 Å, b = 5.9674 Å, c = 5.9674 Å
α = 118.17°, β = 118.17°, γ = 93.21°
Atoms (fractional coordinates):
1 Ac 0.2500 0.7500 0.5000
2 Ac 0.7500 0.2500 0.5000
3 Ge 0.1549 0.1549 0.0000
4 Ge 0.8451 0.8451 0.0000
5 H 0.3057 0.3057 0.6113
6 H 0.3057 0.6943 0.0000
7 H 0.6943 0.3057 0.0000
8 H 0.6943 0.6943 0.3887
9 Pt 0.5000 0.5000 0.0000